First-principles (PBE) data for a geometry-optimized TlZnAu structure, as listed in OQMD.

Its relative energy among the computed polymorphs is 0 meV per atom.

Unit cell a=4.6434 b=4.6434 c=4.6434 alpha=60.00 beta=60.00 gamma=60.00
Fractional positions:
Au: 0.0000 0.0000 0.0000
Tl: 0.2500 0.2500 0.2500
Zn: 0.7500 0.7500 0.7500

=====

First-principles (PBE) data for a geometry-optimized SmYAl2Pd4 structure, as listed in OQMD.

Its total energy is -46.77 eV per cell.

Unit cell a=4.3831 b=4.3831 c=9.2665 alpha=90.00 beta=90.00 gamma=120.00
Fractional positions:
Pd: 0.3333 0.6667 0.1762
Pd: 0.0000 0.0000 0.3308
Pd: 0.0000 0.0000 0.6692
Pd: 0.3333 0.6667 0.8238
Al: 0.6667 0.3333 0.2550
Al: 0.6667 0.3333 0.7450
Sm: 0.0000 0.0000 0.0000
Y: 0.3333 0.6667 0.5000

=====

First-principles (PBE) data for a geometry-optimized NaLiPaS3 structure, as listed in OQMD.

Its total energy is -67.30 eV per cell.

Unit cell a=6.6137 b=6.6137 c=10.5396 alpha=90.00 beta=90.00 gamma=144.43
Last column: magnetic moment on the atom in μB.
Fractional positions:
S: 0.1321 0.8679 0.4330  -0.03
S: 0.8679 0.1321 0.5670  -0.03
S: 0.5757 0.4243 0.7500  -0.02
S: 0.8679 0.1321 0.9330  -0.03
S: 0.4243 0.5757 0.2500  -0.02
S: 0.1321 0.8679 0.0670  -0.03
Na: 0.2475 0.7525 0.7500  0.00
Na: 0.7525 0.2475 0.2500  0.00
Pa: 0.5000 0.5000 0.5000  0.95
Pa: 0.5000 0.5000 0.0000  0.97
Li: 0.0248 0.9752 0.2500  0.00
Li: 0.9752 0.0248 0.7500  0.00

=====

Repeat the third record exactly.
First-principles (PBE) data for a geometry-optimized NaLiPaS3 structure, as listed in OQMD.

Its total energy is -67.30 eV per cell.

Unit cell a=6.6137 b=6.6137 c=10.5396 alpha=90.00 beta=90.00 gamma=144.43
Last column: magnetic moment on the atom in μB.
Fractional positions:
S: 0.1321 0.8679 0.4330  -0.03
S: 0.8679 0.1321 0.5670  -0.03
S: 0.5757 0.4243 0.7500  -0.02
S: 0.8679 0.1321 0.9330  -0.03
S: 0.4243 0.5757 0.2500  -0.02
S: 0.1321 0.8679 0.0670  -0.03
Na: 0.2475 0.7525 0.7500  0.00
Na: 0.7525 0.2475 0.2500  0.00
Pa: 0.5000 0.5000 0.5000  0.95
Pa: 0.5000 0.5000 0.0000  0.97
Li: 0.0248 0.9752 0.2500  0.00
Li: 0.9752 0.0248 0.7500  0.00